BeFeSi2, relaxed, DFT PBE; SG = No. 216; size of the total moment = 0.00 μB/f.u.; E = -5.51 eV per atom; raw formation energy = 24 kJ/mol of atoms
1.0
3.940 0.000 0.000
1.970 3.412 0.000
1.970 1.137 3.217
Si Be Fe
2 1 1
direct
0.250 0.250 0.250
0.000 0.000 0.000
0.500 0.500 0.500
0.750 0.750 0.750